# PBE BaRe2Pt, relaxed
# - DOS at the Fermi energy (states/eV/atom) = 0.9478
# - space-group type = Pmmm, No. 47
# - energy of formation from the pure elements (meV/atom) = 1099
data_BaRe2Pt
_space_group_name_H-M_alt 'P 1'
_space_group_IT_number 1
_space_group_name_Hall 'P 1'
_cell_length_a 2.8860
_cell_length_b 5.0134
_cell_length_c 5.5133
_cell_angle_alpha 90.00
_cell_angle_beta 90.00
_cell_angle_gamma 90.00
loop_
_atom_site_label
_atom_site_fract_x
_atom_site_fract_y
_atom_site_fract_z
Re1 0.0000 0.0000 0.0000
Re2 0.5000 0.5000 0.0000
Ba1 0.5000 0.0000 0.5000
Pt1 0.0000 0.5000 0.5000

# PBE BaRePt, relaxed
# - DOS at the Fermi energy (states/eV/atom) = 0.8252
# - space-group type = Imm2, No. 44
# - energy of formation from the pure elements (meV/atom) = 387
data_BaRePt
_space_group_name_H-M_alt 'P 1'
_space_group_IT_number 1
_space_group_name_Hall 'P 1'
_cell_length_a 6.4168
_cell_length_b 6.4168
_cell_length_c 6.4168
_cell_angle_alpha 153.29
_cell_angle_beta 143.18
_cell_angle_gamma 46.07
loop_
_atom_site_label
_atom_site_fract_x
_atom_site_fract_y
_atom_site_fract_z
Re1 0.7171 0.7171 0.0000
Ba1 0.9990 0.9990 0.0000
Pt1 0.2839 0.2839 0.0000

# PBE BaRe2Pt, relaxed
# - DOS at the Fermi energy (states/eV/atom) = 1.4400
# - space-group type = P4/mmm, No. 123
# - energy of formation from the pure elements (meV/atom) = 1318
data_BaRe2Pt
_space_group_name_H-M_alt 'P 1'
_space_group_IT_number 1
_space_group_name_Hall 'P 1'
_cell_length_a 5.2125
_cell_length_b 3.9829
_cell_length_c 3.9829
_cell_angle_alpha 90.00
_cell_angle_beta 90.00
_cell_angle_gamma 90.00
loop_
_atom_site_label
_atom_site_fract_x
_atom_site_fract_y
_atom_site_fract_z
Re1 0.0000 0.0000 0.0000
Re2 0.0000 0.5000 0.5000
Ba1 0.5000 0.5000 0.0000
Pt1 0.5000 0.0000 0.5000

# PBE BaRePt2, relaxed
# - DOS at the Fermi energy (states/eV/atom) = 0.8609
# - space-group type = Pmm2, No. 25
# - energy of formation from the pure elements (meV/atom) = 294
data_BaRePt2
_space_group_name_H-M_alt 'P 1'
_space_group_IT_number 1
_space_group_name_Hall 'P 1'
_cell_length_a 2.9228
_cell_length_b 3.9113
_cell_length_c 7.4814
_cell_angle_alpha 90.00
_cell_angle_beta 90.00
_cell_angle_gamma 90.00
loop_
_atom_site_label
_atom_site_fract_x
_atom_site_fract_y
_atom_site_fract_z
Re1 0.0000 0.0000 0.4099
Ba1 0.5000 0.5000 0.7589
Pt1 0.0000 0.0000 0.0579
Pt2 0.5000 0.5000 0.2733

# PBE Ba2RePt, relaxed
# - DOS at the Fermi energy (states/eV/atom) = 0.5289
# - space-group type = R-3m, No. 166
# - energy of formation from the pure elements (meV/atom) = 835
data_Ba2RePt
_space_group_name_H-M_alt 'P 1'
_space_group_IT_number 1
_space_group_name_Hall 'P 1'
_cell_length_a 8.8236
_cell_length_b 8.8236
_cell_length_c 8.8236
_cell_angle_alpha 28.43
_cell_angle_beta 28.43
_cell_angle_gamma 28.43
loop_
_atom_site_label
_atom_site_fract_x
_atom_site_fract_y
_atom_site_fract_z
Re1 0.7500 0.7500 0.7500
Ba1 0.9933 0.9933 0.9933
Ba2 0.5067 0.5067 0.5067
Pt1 0.2500 0.2500 0.2500

# PBE BaRePt2, relaxed
# - DOS at the Fermi energy (states/eV/atom) = 0.6437
# - space-group type = P4/mmm, No. 123
# - energy of formation from the pure elements (meV/atom) = 431
data_BaRePt2
_space_group_name_H-M_alt 'P 1'
_space_group_IT_number 1
_space_group_name_Hall 'P 1'
_cell_length_a 5.2605
_cell_length_b 5.2605
_cell_length_c 2.9176
_cell_angle_alpha 90.00
_cell_angle_beta 90.00
_cell_angle_gamma 90.01
loop_
_atom_site_label
_atom_site_fract_x
_atom_site_fract_y
_atom_site_fract_z
Re1 0.5000 0.0000 0.5000
Ba1 0.0000 0.5000 0.5000
Pt1 0.0000 0.0000 0.0000
Pt2 0.5000 0.5000 0.0000

# PBE BaRe2Pt, relaxed
# - DOS at the Fermi energy (states/eV/atom) = 0.9797
# - space-group type = Immm, No. 71
# - energy of formation from the pure elements (meV/atom) = 822
data_BaRe2Pt
_space_group_name_H-M_alt 'P 1'
_space_group_IT_number 1
_space_group_name_Hall 'P 1'
_cell_length_a 6.2701
_cell_length_b 6.2701
_cell_length_c 6.2701
_cell_angle_alpha 153.91
_cell_angle_beta 132.00
_cell_angle_gamma 55.45
loop_
_atom_site_label
_atom_site_fract_x
_atom_site_fract_y
_atom_site_fract_z
Re1 0.0330 0.0330 0.0000
Re2 0.4670 0.4670 0.0000
Ba1 0.7500 0.2500 0.5000
Pt1 0.2500 0.7500 0.5000

# PBE BaRe2Pt, relaxed
# - DOS at the Fermi energy (states/eV/atom) = 0.5686
# - space-group type = Imm2, No. 44
# - energy of formation from the pure elements (meV/atom) = 816
data_BaRe2Pt
_space_group_name_H-M_alt 'P 1'
_space_group_IT_number 1
_space_group_name_Hall 'P 1'
_cell_length_a 5.9079
_cell_length_b 5.9079
_cell_length_c 5.9079
_cell_angle_alpha 147.31
_cell_angle_beta 121.81
_cell_angle_gamma 68.36
loop_
_atom_site_label
_atom_site_fract_x
_atom_site_fract_y
_atom_site_fract_z
Re1 0.9902 0.9902 0.0000
Re2 0.8175 0.3175 0.5000
Ba1 0.4955 0.4955 0.0000
Pt1 0.1969 0.6969 0.5000

# PBE BaRe2Pt, relaxed
# - DOS at the Fermi energy (states/eV/atom) = 0.9444
# - space-group type = R-3m, No. 166
# - energy of formation from the pure elements (meV/atom) = 1037
data_BaRe2Pt
_space_group_name_H-M_alt 'P 1'
_space_group_IT_number 1
_space_group_name_Hall 'P 1'
_cell_length_a 10.6566
_cell_length_b 10.6566
_cell_length_c 10.6566
_cell_angle_alpha 15.70
_cell_angle_beta 15.70
_cell_angle_gamma 15.70
loop_
_atom_site_label
_atom_site_fract_x
_atom_site_fract_y
_atom_site_fract_z
Re1 0.0144 0.0144 0.0144
Re2 0.4856 0.4856 0.4856
Ba1 0.2500 0.2500 0.2500
Pt1 0.7500 0.7500 0.7500

# PBE BaRePt2, relaxed
# - DOS at the Fermi energy (states/eV/atom) = 0.7213
# - space-group type = Pmmm, No. 47
# - energy of formation from the pure elements (meV/atom) = 78
data_BaRePt2
_space_group_name_H-M_alt 'P 1'
_space_group_IT_number 1
_space_group_name_Hall 'P 1'
_cell_length_a 3.7497
_cell_length_b 2.9216
_cell_length_c 8.1405
_cell_angle_alpha 68.94
_cell_angle_beta 90.00
_cell_angle_gamma 90.00
loop_
_atom_site_label
_atom_site_fract_x
_atom_site_fract_y
_atom_site_fract_z
Re1 0.5000 0.2500 0.2500
Ba1 0.5000 0.7500 0.7500
Pt1 0.0000 0.9285 0.0716
Pt2 0.0000 0.5715 0.4284

# PBE BaRe2Pt, relaxed
# - DOS at the Fermi energy (states/eV/atom) = 1.3466
# - space-group type = I4/mmm, No. 139
# - energy of formation from the pure elements (meV/atom) = 1397
data_BaRe2Pt
_space_group_name_H-M_alt 'P 1'
_space_group_IT_number 1
_space_group_name_Hall 'P 1'
_cell_length_a 5.6034
_cell_length_b 5.6034
_cell_length_c 5.6034
_cell_angle_alpha 137.21
_cell_angle_beta 137.21
_cell_angle_gamma 62.12
loop_
_atom_site_label
_atom_site_fract_x
_atom_site_fract_y
_atom_site_fract_z
Re1 0.0000 0.0000 0.0000
Re2 0.5000 0.5000 0.0000
Ba1 0.2500 0.7500 0.5000
Pt1 0.7500 0.2500 0.5000

# PBE BaRePt, relaxed
# - DOS at the Fermi energy (states/eV/atom) = 0.8831
# - space-group type = F-43m, No. 216
# - energy of formation from the pure elements (meV/atom) = 1135
data_BaRePt
_space_group_name_H-M_alt 'P 1'
_space_group_IT_number 1
_space_group_name_Hall 'P 1'
_cell_length_a 4.9462
_cell_length_b 4.9462
_cell_length_c 4.9462
_cell_angle_alpha 60.00
_cell_angle_beta 60.00
_cell_angle_gamma 60.00
loop_
_atom_site_label
_atom_site_fract_x
_atom_site_fract_y
_atom_site_fract_z
Re1 0.0000 0.0000 0.0000
Ba1 0.5000 0.5000 0.5000
Pt1 0.2500 0.2500 0.2500

# PBE Ba2RePt, relaxed
# - DOS at the Fermi energy (states/eV/atom) = 1.1016
# - space-group type = Imm2, No. 44
# - energy of formation from the pure elements (meV/atom) = 285
data_Ba2RePt
_space_group_name_H-M_alt 'P 1'
_space_group_IT_number 1
_space_group_name_Hall 'P 1'
_cell_length_a 6.8369
_cell_length_b 6.8369
_cell_length_c 5.1091
_cell_angle_alpha 68.07
_cell_angle_beta 68.07
_cell_angle_gamma 37.59
loop_
_atom_site_label
_atom_site_fract_x
_atom_site_fract_y
_atom_site_fract_z
Re1 0.8355 0.8355 0.6645
Ba1 0.0106 0.0106 0.9893
Ba2 0.2341 0.2341 0.2658
Pt1 0.4198 0.4198 0.5804

# PBE BaRePt2, relaxed
# - DOS at the Fermi energy (states/eV/atom) = 0.9613
# - space-group type = I-42d, No. 122
# - energy of formation from the pure elements (meV/atom) = 169
data_BaRePt2
_space_group_name_H-M_alt 'P 1'
_space_group_IT_number 1
_space_group_name_Hall 'P 1'
_cell_length_a 5.3504
_cell_length_b 5.3504
_cell_length_c 9.0536
_cell_angle_alpha 72.81
_cell_angle_beta 72.81
_cell_angle_gamma 90.00
loop_
_atom_site_label
_atom_site_fract_x
_atom_site_fract_y
_atom_site_fract_z
Re1 0.0000 0.0000 0.0000
Re2 0.7500 0.2500 0.5000
Ba1 0.5000 0.5000 0.0000
Ba2 0.2500 0.7500 0.5000
Pt1 0.8602 0.1250 0.2500
Pt2 0.8898 0.6250 0.2500
Pt3 0.3750 0.1398 0.7500
Pt4 0.8750 0.1102 0.7500

# PBE BaRe2Pt, relaxed
# - DOS at the Fermi energy (states/eV/atom) = 1.9902
# - space-group type = Fm-3m, No. 225
# - energy of formation from the pure elements (meV/atom) = 1499
data_BaRe2Pt
_space_group_name_H-M_alt 'P 1'
_space_group_IT_number 1
_space_group_name_Hall 'P 1'
_cell_length_a 4.7278
_cell_length_b 4.7278
_cell_length_c 4.7278
_cell_angle_alpha 60.00
_cell_angle_beta 60.00
_cell_angle_gamma 60.00
loop_
_atom_site_label
_atom_site_fract_x
_atom_site_fract_y
_atom_site_fract_z
Re1 0.2500 0.2500 0.2500
Re2 0.7500 0.7500 0.7500
Ba1 0.0000 0.0000 0.0000
Pt1 0.5000 0.5000 0.5000

# PBE BaRe2Pt, relaxed
# - DOS at the Fermi energy (states/eV/atom) = 1.4606
# - space-group type = P4/mmm, No. 123
# - energy of formation from the pure elements (meV/atom) = 870
data_BaRe2Pt
_space_group_name_H-M_alt 'P 1'
_space_group_IT_number 1
_space_group_name_Hall 'P 1'
_cell_length_a 3.3932
_cell_length_b 3.3932
_cell_length_c 7.6501
_cell_angle_alpha 90.00
_cell_angle_beta 90.00
_cell_angle_gamma 90.00
loop_
_atom_site_label
_atom_site_fract_x
_atom_site_fract_y
_atom_site_fract_z
Re1 0.0000 0.0000 0.9079
Re2 0.0000 0.0000 0.5921
Ba1 0.5000 0.5000 0.2500
Pt1 0.5000 0.5000 0.7500

# PBE BaRe2Pt, relaxed
# - DOS at the Fermi energy (states/eV/atom) = 1.2454
# - space-group type = I4_1/amd, No. 141
# - energy of formation from the pure elements (meV/atom) = 811
data_BaRe2Pt
_space_group_name_H-M_alt 'P 1'
_space_group_IT_number 1
_space_group_name_Hall 'P 1'
_cell_length_a 4.8506
_cell_length_b 4.8506
_cell_length_c 9.8359
_cell_angle_alpha 75.73
_cell_angle_beta 75.73
_cell_angle_gamma 90.00
loop_
_atom_site_label
_atom_site_fract_x
_atom_site_fract_y
_atom_site_fract_z
Re1 0.8750 0.1250 0.2500
Re2 0.8750 0.6250 0.2500
Re3 0.3750 0.1250 0.7500
Re4 0.8750 0.1250 0.7500
Ba1 0.5000 0.5000 0.0000
Ba2 0.2500 0.7500 0.5000
Pt1 0.0000 0.0000 0.0000
Pt2 0.7500 0.2500 0.5000

# PBE BaRePt2, relaxed
# - DOS at the Fermi energy (states/eV/atom) = 0.9779
# - space-group type = Immm, No. 71
# - energy of formation from the pure elements (meV/atom) = 450
data_BaRePt2
_space_group_name_H-M_alt 'P 1'
_space_group_IT_number 1
_space_group_name_Hall 'P 1'
_cell_length_a 5.6619
_cell_length_b 5.6619
_cell_length_c 5.6619
_cell_angle_alpha 140.62
_cell_angle_beta 117.96
_cell_angle_gamma 76.01
loop_
_atom_site_label
_atom_site_fract_x
_atom_site_fract_y
_atom_site_fract_z
Re1 0.2500 0.7500 0.5000
Ba1 0.7500 0.2500 0.5000
Pt1 0.0690 0.0690 0.0000
Pt2 0.4310 0.4310 0.0000

# PBE BaRePt2, relaxed
# - DOS at the Fermi energy (states/eV/atom) = 0.9145
# - space-group type = Fm-3m, No. 225
# - energy of formation from the pure elements (meV/atom) = 729
data_BaRePt2
_space_group_name_H-M_alt 'P 1'
_space_group_IT_number 1
_space_group_name_Hall 'P 1'
_cell_length_a 4.9477
_cell_length_b 4.9477
_cell_length_c 4.9477
_cell_angle_alpha 60.00
_cell_angle_beta 60.00
_cell_angle_gamma 60.00
loop_
_atom_site_label
_atom_site_fract_x
_atom_site_fract_y
_atom_site_fract_z
Re1 0.5000 0.5000 0.5000
Ba1 0.0000 0.0000 0.0000
Pt1 0.2500 0.2500 0.2500
Pt2 0.7500 0.7500 0.7500

# PBE BaRe2Pt, relaxed
# - DOS at the Fermi energy (states/eV/atom) = 1.2439
# - space-group type = C2/m, No. 12
# - energy of formation from the pure elements (meV/atom) = 1147
data_BaRe2Pt
_space_group_name_H-M_alt 'P 1'
_space_group_IT_number 1
_space_group_name_Hall 'P 1'
_cell_length_a 5.2542
_cell_length_b 6.0655
_cell_length_c 2.8202
_cell_angle_alpha 79.77
_cell_angle_beta 82.72
_cell_angle_gamma 113.81
loop_
_atom_site_label
_atom_site_fract_x
_atom_site_fract_y
_atom_site_fract_z
Re1 0.0000 0.0000 0.0000
Re2 0.5000 0.0000 0.5000
Ba1 0.0000 0.5000 0.5000
Pt1 0.5000 0.5000 0.0000